HfMgI2: PBEsol geometry, meta-GGA SCAN. Values from VASP.

## Properties
DOS at the Fermi energy: 0.80 states/eV per atom
Formation energy without anion corrections: 0.20 eV/atom

Cell and atoms, written as Quantum ESPRESSO input:
```
&SYSTEM
  ibrav = 0, nat = 4, ntyp = 3
/
ATOMIC_SPECIES
I 126.90 I.upf
Mg 24.30 Mg.upf
Hf 178.49 Hf.upf
CELL_PARAMETERS angstrom
5.075 0.000 0.000
2.538 4.396 0.000
2.538 1.465 4.144
ATOMIC_POSITIONS angstrom
I 2.538 1.465 1.036
I 7.613 4.396 3.108
Mg 0.000 0.000 0.000
Hf 5.075 2.930 2.072
```